DFT (meta-GGA SCAN) results for a crystal of MgF2 relaxed with PBEsol.

Final energy (eV/atom): -7.6553
E_form (uncorrected) (eV per atom): -3.637
Fermi-level density of states (states/eV/atom): 0.00

a b c (Å): 5.776 5.776 5.776
angles (deg): 140.78 112.73 80.73
Fractional coordinates of all 6 atoms:
Mg 0.360 0.110 0.250
Mg 0.640 0.890 0.750
F 0.000 0.000 0.000
F 0.411 0.661 0.750
F 0.500 0.000 0.500
F 0.589 0.339 0.250


DFT (meta-GGA SCAN) results for a crystal of TcPBr2 relaxed with PBEsol.

Distance to the lowest polymorph of the same formula (meV/atom): 845
Final energy (eV/atom): -20.3421
E_form (uncorrected) (eV per atom): 0.752
Fermi-level density of states (states/eV/atom): 0.76

a b c (Å): 9.112 9.112 9.112
angles (deg): 19.87 19.87 19.87
Fractional coordinates of all 4 atoms:
Tc 0.000 0.000 0.000
P 0.500 0.500 0.500
Br 0.266 0.266 0.266
Br 0.734 0.734 0.734


Fermi-level density of states of number 2 (TcPBr2)? 0.76 states/eV/atom